# 1
# PBE ZnCrSb2, optimized geometry
# VASP energy in eV per cell: -36.1
data_ZnCrSb2
_chemical_formula_sum 'Zn2 Cr2 Sb4'
_space_group_name_H-M_alt 'C 1 m 1'
_space_group_IT_number 8
_space_group_name_Hall 'C -2y'
_cell_length_a 10.517
_cell_length_b 3.214
_cell_length_c 5.115
_cell_angle_alpha 90.00
_cell_angle_beta 103.18
_cell_angle_gamma 90.00
loop_
_atom_site_label
_atom_site_type_symbol
_atom_site_fract_x
_atom_site_fract_y
_atom_site_fract_z
_atom_site_occupancy
Zn1 Zn 0.000 0.000 0.000 1
Cr1 Cr 0.215 0.500 0.337 1
Sb1 Sb 0.241 0.000 0.849 1
Sb2 Sb 0.458 0.000 0.462 1

---

# 2
# PBE PuAl2Ge, optimized geometry
# E_form in kJ/mol of formula units: -72
# Energy above the lowest structure with this stoichiometry in eV/atom: 0.159
# VASP energy in eV per cell: -27.2
data_PuAl2Ge
_chemical_formula_sum 'Pu1 Al2 Ge1'
_space_group_name_H-M_alt 'P m m m'
_space_group_IT_number 47
_space_group_name_Hall '-P 2 2'
_cell_length_a 2.854
_cell_length_b 4.725
_cell_length_c 5.731
_cell_angle_alpha 90.00
_cell_angle_beta 90.00
_cell_angle_gamma 90.00
loop_
_atom_site_label
_atom_site_type_symbol
_atom_site_fract_x
_atom_site_fract_y
_atom_site_fract_z
_atom_site_occupancy
Pu1 Pu 0.000 0.000 0.000 1
Al1 Al 0.500 0.500 0.256 1
Ge1 Ge 0.500 0.000 0.500 1

---

# 3
# PBE CuNi2Bi, optimized geometry
# E_form in kJ/mol of formula units: 40
# VASP energy in eV per cell: -76.5
data_CuNi2Bi
_chemical_formula_sum 'Cu4 Ni8 Bi4'
_space_group_name_H-M_alt 'C m c m'
_space_group_IT_number 63
_space_group_name_Hall '-C 2c 2'
_cell_length_a 3.804
_cell_length_b 12.668
_cell_length_c 5.131
_cell_angle_alpha 90.00
_cell_angle_beta 90.00
_cell_angle_gamma 90.00
loop_
_atom_site_label
_atom_site_type_symbol
_atom_site_fract_x
_atom_site_fract_y
_atom_site_fract_z
_atom_site_occupancy
Cu1 Cu 0.000 0.014 0.250 1
Ni1 Ni 0.000 0.404 0.000 1
Bi1 Bi 0.000 0.210 0.750 1

---

# 4
# PBE Np2Ni4P3Pd, optimized geometry
# E_form in kJ/mol of formula units: -560
# VASP energy in eV per cell: -76.2
data_Np2Ni4P3Pd
_chemical_formula_sum 'Np2 Ni4 P3 Pd1'
_space_group_name_H-M_alt 'P -4 m 2'
_space_group_IT_number 115
_space_group_name_Hall 'P -4 -2'
_cell_length_a 3.827
_cell_length_b 3.827
_cell_length_c 10.067
_cell_angle_alpha 90.00
_cell_angle_beta 90.00
_cell_angle_gamma 90.00
loop_
_atom_site_label
_atom_site_type_symbol
_atom_site_fract_x
_atom_site_fract_y
_atom_site_fract_z
_atom_site_occupancy
Np1 Np 0.000 0.500 0.246 1
Ni1 Ni 0.000 0.000 0.000 1
Ni2 Ni 0.000 0.500 0.658 1
Ni3 Ni 0.500 0.500 0.000 1
P1 P 0.000 0.500 0.875 1
P2 P 0.500 0.500 0.500 1
Pd1 Pd 0.000 0.000 0.500 1

---

# 5
# PBE LiTmGa, optimized geometry
# E_form in kJ/mol of formula units: -63
# Energy above the lowest structure with this stoichiometry in eV/atom: 0.177
# VASP energy in eV per cell: -20.1
data_LiTmGa
_chemical_formula_sum 'Li2 Tm2 Ga2'
_space_group_name_H-M_alt 'I 4 m m'
_space_group_IT_number 107
_space_group_name_Hall 'I 4 -2'
_cell_length_a 3.426
_cell_length_b 3.426
_cell_length_c 10.583
_cell_angle_alpha 90.00
_cell_angle_beta 90.00
_cell_angle_gamma 90.00
loop_
_atom_site_label
_atom_site_type_symbol
_atom_site_fract_x
_atom_site_fract_y
_atom_site_fract_z
_atom_site_occupancy
Li1 Li 0.000 0.000 0.000 1
Tm1 Tm 0.000 0.000 0.295 1
Ga1 Ga 0.000 0.000 0.618 1

---

# 6
# PBE Ba4YOs, optimized geometry
# E_form in kJ/mol of formula units: 735
# VASP energy in eV per cell: -71.1
data_Ba4YOs
_chemical_formula_sum 'Ba16 Y4 Os4'
_space_group_name_H-M_alt 'F -4 3 m'
_space_group_IT_number 216
_space_group_name_Hall 'F -4 2 3'
_cell_length_a 9.762
_cell_length_b 9.762
_cell_length_c 9.762
_cell_angle_alpha 90.00
_cell_angle_beta 90.00
_cell_angle_gamma 90.00
loop_
_atom_site_label
_atom_site_type_symbol
_atom_site_fract_x
_atom_site_fract_y
_atom_site_fract_z
_atom_site_occupancy
Ba1 Ba 0.124 0.124 0.124 1
Y1 Y 0.000 0.000 0.500 1
Os1 Os 0.250 0.250 0.750 1

---

# 7
# PBE GePPt4, optimized geometry
# E_form in kJ/mol of formula units: -177
# VASP energy in eV per cell: -144.1
data_GePPt4
_chemical_formula_sum 'Ge4 P4 Pt16'
_space_group_name_H-M_alt 'C 1 2/m 1'
_space_group_IT_number 12
_space_group_name_Hall '-C 2y'
_cell_length_a 12.702
_cell_length_b 5.497
_cell_length_c 5.725
_cell_angle_alpha 90.00
_cell_angle_beta 92.95
_cell_angle_gamma 90.00
loop_
_atom_site_label
_atom_site_type_symbol
_atom_site_fract_x
_atom_site_fract_y
_atom_site_fract_z
_atom_site_occupancy
Ge1 Ge 0.247 0.000 0.190 1
P1 P 0.115 0.500 0.303 1
Pt1 Pt 0.000 0.242 0.500 1
Pt2 Pt 0.108 0.246 0.964 1
Pt3 Pt 0.205 0.000 0.594 1

---

# 8
# PBE GaAsRu3, optimized geometry
# E_form in kJ/mol of formula units: 396
# Energy above the lowest structure with this stoichiometry in eV/atom: 0.000
# VASP energy in eV per cell: -31.4
data_GaAsRu3
_chemical_formula_sum 'Ga1 As1 Ru3'
_space_group_name_H-M_alt 'P m -3 m'
_space_group_IT_number 221
_space_group_name_Hall '-P 4 2 3'
_cell_length_a 4.510
_cell_length_b 4.510
_cell_length_c 4.510
_cell_angle_alpha 90.00
_cell_angle_beta 90.00
_cell_angle_gamma 90.00
loop_
_atom_site_label
_atom_site_type_symbol
_atom_site_fract_x
_atom_site_fract_y
_atom_site_fract_z
_atom_site_occupancy
Ga1 Ga 0.000 0.000 0.000 1
As1 As 0.500 0.500 0.500 1
Ru1 Ru 0.000 0.500 0.500 1

---

# 9
# PBE K2RbInBr4, optimized geometry
# VASP energy in eV per cell: -24.4
data_K2RbInBr4
_chemical_formula_sum 'K2 Rb1 In1 Br4'
_space_group_name_H-M_alt 'P 1 2/m 1'
_space_group_IT_number 10
_space_group_name_Hall '-P 2y'
_cell_length_a 8.276
_cell_length_b 4.792
_cell_length_c 8.309
_cell_angle_alpha 90.00
_cell_angle_beta 109.36
_cell_angle_gamma 90.00
loop_
_atom_site_label
_atom_site_type_symbol
_atom_site_fract_x
_atom_site_fract_y
_atom_site_fract_z
_atom_site_occupancy
K1 K 0.000 0.000 0.000 1
K2 K 0.500 0.500 0.000 1
Rb1 Rb 0.000 0.500 0.500 1
In1 In 0.500 0.000 0.500 1
Br1 Br 0.253 0.500 0.245 1
Br2 Br 0.258 0.000 0.759 1

---

# 10
# PBE TiCu3S6, optimized geometry
# VASP energy in eV per cell: -95.8
data_TiCu3S6
_chemical_formula_sum 'Ti2 Cu6 S12'
_space_group_name_H-M_alt 'C m m m'
_space_group_IT_number 65
_space_group_name_Hall '-C 2 2'
_cell_length_a 8.463
_cell_length_b 11.099
_cell_length_c 3.736
_cell_angle_alpha 90.00
_cell_angle_beta 90.00
_cell_angle_gamma 90.00
loop_
_atom_site_label
_atom_site_type_symbol
_atom_site_fract_x
_atom_site_fract_y
_atom_site_fract_z
_atom_site_occupancy
Ti1 Ti 0.000 0.000 0.000 1
Cu1 Cu 0.000 0.500 0.000 1
Cu2 Cu 0.250 0.250 0.500 1
S1 S 0.000 0.151 0.500 1
S2 S 0.216 0.383 0.000 1

---

# 11
# PBE KTiO2, optimized geometry
# VASP energy in eV per cell: -54.3
data_KTiO2
_chemical_formula_sum 'K2 Ti2 O4'
_space_group_name_H-M_alt 'P 4/m b m'
_space_group_IT_number 127
_space_group_name_Hall '-P 4 2ab'
_cell_length_a 6.758
_cell_length_b 6.758
_cell_length_c 2.923
_cell_angle_alpha 90.00
_cell_angle_beta 90.00
_cell_angle_gamma 90.00
loop_
_atom_site_label
_atom_site_type_symbol
_atom_site_fract_x
_atom_site_fract_y
_atom_site_fract_z
_atom_site_occupancy
K1 K 0.000 0.000 0.000 1
Ti1 Ti 0.000 0.500 0.000 1
O1 O 0.136 0.364 0.500 1

---

# 12
# PBE HfSc2Ta3N6, optimized geometry
# VASP energy in eV per cell: -251.7
data_HfSc2Ta3N6
_chemical_formula_sum 'Hf2 Sc4 Ta6 N12'
_space_group_name_H-M_alt 'C 1 2/m 1'
_space_group_IT_number 12
_space_group_name_Hall '-C 2y'
_cell_length_a 5.444
_cell_length_b 9.418
_cell_length_c 5.482
_cell_angle_alpha 90.00
_cell_angle_beta 109.27
_cell_angle_gamma 90.00
loop_
_atom_site_label
_atom_site_type_symbol
_atom_site_fract_x
_atom_site_fract_y
_atom_site_fract_z
_atom_site_occupancy
Hf1 Hf 0.000 0.000 0.000 1
Sc1 Sc 0.000 0.334 0.000 1
Ta1 Ta 0.000 0.174 0.500 1
Ta2 Ta 0.000 0.500 0.500 1
N1 N 0.245 0.000 0.741 1
N2 N 0.249 0.166 0.249 1